Material: ErNi4B
Method: DFT, PBE-GGA
State: optimized geometry

Computed properties:
Volume ... 12.23 Å³ per atom
N(E_F) ... 3.68 states/eV/f.u.
Symmetry ... Pmma
Energy relative to the lowest polymorph listed for this composition ... 0.744 eV/f.u.
Formation energy ... -2.31 eV per formula unit
Magnetic moment ... 0.0 μB per formula unit
Total energy ... -73.34 eV for the cell shown

Cell: 3.3908 6.2655 6.9061 Å, 90.00 90.00 90.00°
Closest atoms and distances in Å follow each position.
Element x y z (fractional)
Ni1 0.5000 0.9559 0.7500  2 B 2.18, 6 Ni 2.42-2.44
Ni2 0.5000 0.2866 0.9303  2 B 2.22, 1 Ni 2.42
Ni3 0.5000 0.7134 0.4303  2 B 2.22, 1 Ni 2.42
Ni4 0.5000 0.0441 0.2500  2 B 2.18, 6 Ni 2.42-2.44
Ni5 0.0000 0.0000 0.5000  2 B 2.04
Ni6 0.5000 0.7134 0.0697  2 B 2.22, 1 Ni 2.42
Ni7 0.0000 0.0000 0.0000  2 B 2.04
Ni8 0.5000 0.2866 0.5697  2 B 2.22, 1 Ni 2.42
Er1 0.0000 0.3949 0.2500  1 B 2.70, 12 Ni 2.78-3.02
Er2 0.0000 0.6051 0.7500  1 B 2.70, 12 Ni 2.78-3.02
B1 0.0000 0.1747 0.7500  8 Ni 2.04-2.22
B2 0.0000 0.8253 0.2500  8 Ni 2.04-2.22